# 1
A geometry-optimized Cd2MoP structure, computed with PBE-GGA.

Computed properties:
- Energy of formation: 0.034 eV per atom
- Symmetry: No. 71
- M_tot: 0.00 μB/f.u.

Cell and atoms, written as POSCAR:
```
Cd2MoP
1.0
-1.432 1.943 7.206
1.432 -1.943 7.206
1.432 1.943 -7.206
Cd Mo P
2 1 1
direct
0.183 0.183 0.000
0.817 0.817 0.000
0.000 0.500 0.500
0.500 0.000 0.500
```

---

# 2
A geometry-optimized PrInPt structure, computed with PBE-GGA.

Computed properties:
- Energy of formation: -0.799 eV per atom
- Symmetry: No. 187
- M_tot: 0.00 μB/f.u.

Cell and atoms, written as POSCAR:
```
PrInPt
1.0
4.738 0.000 0.000
-2.369 4.103 0.000
0.000 0.000 3.777
Pr In Pt
1 1 1
direct
0.000 0.000 0.000
0.667 0.333 0.500
0.333 0.667 0.500
```